(1)
Material: ErCuGeTe3
Method: DFT, PBE-GGA
State: relaxed

Cell: 7.4142 7.4142 10.9903 Å, 90.00 90.00 32.32°
Fractional positions:
Cu: 0.4750 0.4750 0.2500
Cu: 0.5250 0.5250 0.7500
Te: 0.9057 0.9057 0.7500
Te: 0.3509 0.3509 0.0698
Te: 0.6491 0.6491 0.9302
Te: 0.6491 0.6491 0.5698
Te: 0.0943 0.0943 0.2500
Te: 0.3509 0.3509 0.4302
Ge: 0.7786 0.7786 0.2500
Ge: 0.2214 0.2214 0.7500
Er: 0.0000 0.0000 0.5000
Er: 0.0000 0.0000 0.0000

Computed properties:
VASP energy ... -0.313 Ry per atom
Space-group type ... Cmcm, No. 63
Size of the total moment ... 0.001 μB/f.u.

=====

(2)
Material: ErTm2Cu4Ge4
Method: DFT, PBE-GGA
State: relaxed

Cell: 7.9384 7.9384 7.9384 Å, 149.61 130.64 59.08°
Fractional positions:
Cu: 0.3615 0.6704 0.6912
Cu: 0.6385 0.3297 0.3088
Cu: 0.0208 0.3296 0.6912
Cu: 0.9792 0.6703 0.3088
Er: 0.0000 0.0000 0.0000
Tm: 0.6292 0.1292 0.5000
Tm: 0.3708 0.8708 0.5000
Ge: 0.7835 0.7835 0.0000
Ge: 0.2165 0.2165 0.0000
Ge: 0.6928 0.5000 0.1928
Ge: 0.3072 0.5000 0.8072

Computed properties:
VASP energy ... -0.359 Ry per atom
Space-group type ... Immm, No. 71
Size of the total moment ... 0.000 μB/f.u.